# PaTiSeN2

A relaxed structure of PaTiSeN2 (PBE, Alexandria).

Unit cell a=7.049 b=3.995 c=7.268 alpha=90.00 beta=116.19 gamma=90.00
Space group P2_1/m (No. 11)
Asymmetric unit:
1 Pa 0.229 0.250 0.053 (multiplicity 2)
2 Ti 0.335 0.750 0.445 (multiplicity 2)
3 Se 0.279 0.750 0.766 (multiplicity 2)
4 N 0.131 0.750 0.127 (multiplicity 2)
5 N 0.359 0.250 0.392 (multiplicity 2)

=====

# YPaSeN2

A relaxed structure of YPaSeN2 (PBE, Alexandria).

Unit cell a=3.907 b=3.907 c=12.200 alpha=90.00 beta=90.00 gamma=90.00
Space group I4mm (No. 107)
Asymmetric unit:
1 Y 0.000 0.000 0.000 (multiplicity 2)
2 Pa 0.000 0.000 0.320 (multiplicity 2)
3 Se 0.000 0.000 0.659 (multiplicity 2)
4 N 0.000 0.500 0.400 (multiplicity 4)

=====

# Y2PaSe2N2

A relaxed structure of Y2PaSe2N2 (PBE, Alexandria).

Unit cell a=4.375 b=4.375 c=15.022 alpha=90.00 beta=90.00 gamma=90.00
Space group I4/mmm (No. 139)
Asymmetric unit:
1 Y 0.000 0.000 0.116 (multiplicity 4)
2 Pa 0.000 0.000 0.500 (multiplicity 2)
3 Se 0.000 0.000 0.312 (multiplicity 4)
4 N 0.000 0.500 0.000 (multiplicity 4)

=====

# ZrPaSeN2

A relaxed structure of ZrPaSeN2 (PBE, Alexandria).

Unit cell a=6.379 b=3.926 c=7.572 alpha=90.00 beta=109.23 gamma=90.00
Space group P2_1/m (No. 11)
Asymmetric unit:
1 Zr 0.156 0.250 0.415 (multiplicity 2)
2 Pa 0.204 0.250 0.934 (multiplicity 2)
3 Se 0.453 0.750 0.271 (multiplicity 2)
4 N 0.002 0.250 0.626 (multiplicity 2)
5 N 0.025 0.750 0.885 (multiplicity 2)

=====

# Pa3SiN6

A relaxed structure of Pa3SiN6 (PBE, Alexandria).

Unit cell a=9.018 b=11.339 c=5.375 alpha=90.00 beta=90.00 gamma=90.00
Space group Cmc2_1 (No. 36)
Asymmetric unit:
1 Pa 0.000 0.107 0.000 (multiplicity 4)
2 Pa 0.190 0.392 0.034 (multiplicity 8)
3 Si 0.000 0.305 0.582 (multiplicity 4)
4 N 0.000 0.285 0.257 (multiplicity 4)
5 N 0.000 0.451 0.698 (multiplicity 4)
6 N 0.150 0.237 0.742 (multiplicity 8)
7 N 0.158 0.012 0.270 (multiplicity 8)

=====

# PaSiN

A relaxed structure of PaSiN (PBE, Alexandria).

Unit cell a=3.924 b=13.030 c=3.906 alpha=90.00 beta=90.00 gamma=90.00
Space group Cmcm (No. 63)
Asymmetric unit:
1 Pa 0.000 0.158 0.250 (multiplicity 4)
2 Si 0.000 0.452 0.250 (multiplicity 4)
3 N 0.000 0.254 0.750 (multiplicity 4)

Computed properties:
The value obtained for the energy above the lowest structure with this stoichiometry is 0.0 meV per atom.

=====

# PaSiN2

A relaxed structure of PaSiN2 (PBE, Alexandria).

Unit cell a=3.0209 b=3.0209 c=18.9754 alpha=90.00 beta=90.00 gamma=120.00
Space group R-3m (No. 166, hexagonal axes)
Asymmetric unit:
1 Pa 0.0000 0.0000 0.0000 (multiplicity 3)
2 Si 0.0000 0.0000 0.5000 (multiplicity 3)
3 N 0.0000 0.0000 0.1168 (multiplicity 6)

=====

# PaSi2N4

A relaxed structure of PaSi2N4 (PBE, Alexandria).

Unit cell a=7.438 b=7.438 c=5.941 alpha=90.00 beta=90.00 gamma=90.00
Space group I-42d (No. 122)
Asymmetric unit:
1 Pa 0.000 0.000 0.000 (multiplicity 4)
2 Si 0.077 0.250 0.625 (multiplicity 8)
3 N 0.056 0.713 0.876 (multiplicity 16)

=====

# PaSiN3

A relaxed structure of PaSiN3 (PBE, Alexandria).

Unit cell a=6.402 b=3.455 c=6.621 alpha=90.00 beta=96.83 gamma=90.00
Space group P2_1/m (No. 11)
Asymmetric unit:
1 Pa 0.039 0.250 0.234 (multiplicity 2)
2 Si 0.415 0.250 0.615 (multiplicity 2)
3 N 0.147 0.750 0.080 (multiplicity 2)
4 N 0.152 0.250 0.629 (multiplicity 2)
5 N 0.475 0.250 0.356 (multiplicity 2)

=====

# PaSiN

A relaxed structure of PaSiN (PBE, Alexandria).

Unit cell a=3.264 b=3.264 c=19.686 alpha=90.00 beta=90.00 gamma=90.00
Space group I4/mmm (No. 139)
Asymmetric unit:
1 Pa 0.000 0.000 0.175 (multiplicity 4)
2 Si 0.000 0.000 0.441 (multiplicity 4)
3 N 0.000 0.000 0.292 (multiplicity 4)

Computed properties:
The value obtained for the energy above the lowest structure with this stoichiometry is 461.7 meV per atom.

=====

# SmPaSiN4

A relaxed structure of SmPaSiN4 (PBE, Alexandria).

Unit cell a=5.524 b=5.520 c=6.724 alpha=90.00 beta=107.68 gamma=90.00
Space group P2_1/m (No. 11)
Asymmetric unit:
1 Sm 0.218 0.250 0.429 (multiplicity 2)
2 Pa 0.280 0.250 0.955 (multiplicity 2)
3 Si 0.257 0.750 0.191 (multiplicity 2)
4 N 0.050 0.750 0.343 (multiplicity 2)
5 N 0.058 0.750 0.929 (multiplicity 2)
6 N 0.466 0.508 0.231 (multiplicity 4)

=====

# SmPa2Si2N6

A relaxed structure of SmPa2Si2N6 (PBE, Alexandria).

Unit cell a=5.9639 b=5.9639 c=5.9554 alpha=90.00 beta=90.00 gamma=120.00
Space group P-3 (No. 147)
Asymmetric unit:
1 Sm 0.0000 0.0000 0.0000 (multiplicity 1)
2 Pa 0.3333 0.6667 0.8595 (multiplicity 2)
3 Si 0.3333 0.6667 0.3285 (multiplicity 2)
4 N 0.0674 0.3969 0.1890 (multiplicity 6)

=====

Formation energy (no corrections) / eV/atom: -1.529, -1.777, -1.470, -1.598, -1.518, -1.217, -0.330, -0.994, -1.099, -0.756, -1.309, -0.990